(1)
InBi3Pb12 GGA-PBE relaxed; volume = 31.53 Å³/atom; calculated total energy = -3.665 eV per atom; DOS at the Fermi energy = 0.5062 states/eV/atom; symmetry = No. 123
1.0
5.1150 0.0000 0.0000
0.0000 5.1150 0.0000
0.0000 0.0000 19.2795
In Bi Pb
1 3 12
Cartesian
0.0000 0.0000 0.0000 In
0.0000 0.0000 4.7746 Bi
0.0000 0.0000 9.6398 Bi
0.0000 0.0000 14.5050 Bi
0.0000 2.5575 2.3841 Pb
0.0000 2.5575 7.2172 Pb
0.0000 2.5575 12.0624 Pb
0.0000 2.5575 16.8954 Pb
2.5575 0.0000 2.3841 Pb
2.5575 0.0000 7.2172 Pb
2.5575 0.0000 12.0624 Pb
2.5575 0.0000 16.8954 Pb
2.5575 2.5575 0.0000 Pb
2.5575 2.5575 4.8115 Pb
2.5575 2.5575 9.6398 Pb
2.5575 2.5575 14.4680 Pb

=====

(2)
LaTb9Ho2 GGA-PBE relaxed; volume = 32.54 Å³/atom; calculated total energy = -4.614 eV per atom; DOS at the Fermi energy = 1.2731 states/eV/atom; symmetry = No. 191; polymorph energy (0 for the lowest one) = 0.009 eV per atom
1.0
11.3055 0.0000 0.0000
-5.6528 9.7909 0.0000
0.0000 0.0000 3.5279
La Tb Ho
1 9 2
Cartesian
0.0000 0.0000 0.0000 La
-2.8264 4.8954 0.0000 Tb
0.0000 3.5009 1.7639 Tb
-2.6209 8.0404 1.7639 Tb
3.0319 1.7505 1.7639 Tb
5.6528 0.0000 0.0000 Tb
2.8264 4.8954 0.0000 Tb
2.6209 8.0404 1.7639 Tb
8.2736 1.7505 1.7639 Tb
5.6528 6.2900 1.7639 Tb
0.0000 6.5273 0.0000 Ho
5.6528 3.2636 0.0000 Ho

=====

(3)
RbSrF GGA-PBE relaxed; volume = 45.00 Å³/atom; calculated total energy = -3.371 eV per atom; DOS at the Fermi energy = 0.5545 states/eV/atom; ΔE_f (raw) = -1.8643 eV/atom; symmetry = No. 129
1.0
4.3130 0.0000 0.0000
0.0000 4.3130 0.0000
0.0000 0.0000 14.5150
Rb Sr F
2 2 2
Cartesian
1.0783 1.0783 2.1274 Rb
3.2348 3.2348 12.3876 Rb
1.0783 1.0783 8.5995 Sr
3.2348 3.2348 5.9155 Sr
1.0783 3.2348 7.2575 F
3.2348 1.0783 7.2575 F

=====

(4)
GdIrPt GGA-PBE relaxed; volume = 21.01 Å³/atom; calculated total energy = -10.439 eV per atom; DOS at the Fermi energy = 0.3993 states/eV/atom; symmetry = No. 187
1.0
4.3569 0.0000 0.0000
-2.1785 3.7732 0.0000
0.0000 0.0000 3.8348
Gd Ir Pt
1 1 1
Cartesian
0.0000 0.0000 0.0000 Gd
2.1785 1.2577 1.9174 Ir
0.0000 2.5155 1.9174 Pt

=====

> Which of these has the lowest calculated total energy?

GdIrPt